# Te2PN

A relaxed Te2PN crystal (GGA-PBEsol, Alexandria via LeMat-Bulk).

Values from the calculation:
**Size of the total moment**: 0.00 μB per atom
**Volume**: 20.40 Å³ per atom
**Mass density**: 6109 kg/m3
**Raw total energy**: -36.43 eV/cell
**Formation energy from raw total energies**: 789 meV per atom
**Symmetry**: I-42d (122)

The structure in extended XYZ format:
```
8
Lattice="-3.2724 3.2724 3.8099 3.2724 -3.2724 3.8099 3.2724 3.2724 -3.8099" Properties=species:S:1:pos:R:3 pbc="T T T"
Te 4.9086 1.3121 -0.9525
Te 1.3121 1.6362 0.9525
Te -1.6362 1.9603 2.8574
Te 1.9603 1.6362 4.7624
P 3.2724 0.0000 1.9050
P 0.0000 0.0000 3.8099
N 0.0000 0.0000 0.0000
N 0.0000 3.2724 1.9050
```


# K3BeCo

A relaxed K3BeCo crystal (GGA-PBEsol, Alexandria via LeMat-Bulk).

Values from the calculation:
**Size of the total moment**: 0.21 μB per atom
**Volume**: 43.53 Å³ per atom
**Mass density**: 1413 kg/m3
**ΔE_f**: 1327 meV per atom
**Raw total energy**: -8.50 eV/cell
**Symmetry**: Pm-3m (221)

The structure in extended XYZ format:
```
5
Lattice="6.0151 0.0000 0.0000 0.0000 6.0151 0.0000 0.0000 0.0000 6.0151" Properties=species:S:1:pos:R:3 pbc="T T T"
K 0.0000 0.0000 3.0076
K 0.0000 3.0076 0.0000
K 3.0076 0.0000 0.0000
Be 3.0076 3.0076 3.0076
Co 0.0000 0.0000 0.0000
```


# CaPCl2F

A relaxed CaPCl2F crystal (GGA-PBEsol, Alexandria via LeMat-Bulk).

Values from the calculation:
**Size of the total moment**: 0.27 μB per atom
**Volume**: 20.24 Å³ per atom
**Mass density**: 2641 kg/m3
**Raw total energy**: -18.50 eV/cell
**Formation energy from raw total energies**: -927 meV per atom
**Symmetry**: P4/mmm (123)

The structure in extended XYZ format:
```
5
Lattice="5.2116 0.0000 0.0000 0.0000 5.2116 0.0000 0.0000 0.0000 3.7259" Properties=species:S:1:pos:R:3 pbc="T T T"
Ca 0.0000 0.0000 0.0000
P 2.6058 2.6058 0.0000
Cl 0.0000 2.6058 1.8629
Cl 2.6058 0.0000 1.8629
F 2.6058 2.6058 1.8629
```


# CaCd2W

A relaxed CaCd2W crystal (GGA-PBEsol, Alexandria via LeMat-Bulk).

Values from the calculation:
**Size of the total moment**: 0.00 μB per atom
**Volume**: 19.78 Å³ per atom
**Mass density**: 9417 kg/m3
**Energy above the most stable polymorph in this dataset**: 0.000 eV/atom
**ΔE_f**: 385 meV per atom
**Raw total energy**: -16.80 eV/cell
**Symmetry**: P4/mmm (123)

The structure in extended XYZ format:
```
4
Lattice="2.8958 0.0000 0.0000 0.0000 2.8958 0.0000 0.0000 0.0000 9.4358" Properties=species:S:1:pos:R:3 pbc="T T T"
Ca 0.0000 0.0000 0.0000
Cd 1.4479 1.4479 2.5346
Cd 1.4479 1.4479 6.9012
W 0.0000 0.0000 4.7179
```


# EuGe3Pt

A relaxed EuGe3Pt crystal (GGA-PBEsol, Alexandria via LeMat-Bulk).

Values from the calculation:
**Size of the total moment**: 1.36 μB per atom
**Volume**: 19.61 Å³ per atom
**Mass density**: 9568 kg/m3
**ΔE_f**: -715 meV per atom
**Raw total energy**: -35.92 eV/cell
**Symmetry**: I4mm (107)

The structure in extended XYZ format:
```
5
Lattice="-2.2200 2.2200 4.9738 2.2200 -2.2200 4.9738 2.2200 2.2200 -4.9738" Properties=species:S:1:pos:R:3 pbc="T T T"
Eu 0.0000 0.0000 0.0000
Ge 2.2200 0.0000 2.5892
Ge 0.0000 0.0000 4.0459
Ge 0.0000 2.2200 2.5892
Pt 0.0000 0.0000 6.4669
```


# Mn2Be

A relaxed Mn2Be crystal (GGA-PBEsol, Alexandria via LeMat-Bulk).

Values from the calculation:
**Size of the total moment**: 0.00 μB per atom
**Volume**: 9.49 Å³ per atom
**Mass density**: 6938 kg/m3
**ΔE_f**: -78 meV per atom
**Raw total energy**: -23.76 eV/cell
**Symmetry**: P-3m1 (164)

The structure in extended XYZ format:
```
3
Lattice="3.7504 0.0000 0.0000 -1.8752 3.2479 0.0000 0.0000 0.0000 2.3361" Properties=species:S:1:pos:R:3 pbc="T T T"
Mn 0.0000 2.1653 0.3155
Mn 1.8752 1.0826 2.0206
Be 0.0000 0.0000 1.1681
```


# CaMg2Ag

A relaxed CaMg2Ag crystal (GGA-PBEsol, Alexandria via LeMat-Bulk).

Values from the calculation:
**Size of the total moment**: 0.00 μB per atom
**Volume**: 22.84 Å³ per atom
**Mass density**: 3572 kg/m3
**ΔE_f**: -126 meV per atom
**Raw total energy**: -9.38 eV/cell
**Symmetry**: I-4m2 (119)

The structure in extended XYZ format:
```
4
Lattice="-2.5419 2.5419 3.5350 2.5419 -2.5419 3.5350 2.5419 2.5419 -3.5350" Properties=species:S:1:pos:R:3 pbc="T T T"
Ca 0.0000 0.0000 0.0000
Mg 2.5419 0.0000 1.7675
Mg 0.0000 0.0000 3.5350
Ag 0.0000 2.5419 1.7675
```


# LaMgAs2

A relaxed LaMgAs2 crystal (GGA-PBEsol, Alexandria via LeMat-Bulk).

Values from the calculation:
**Size of the total moment**: 0.00 μB per atom
**Volume**: 23.07 Å³ per atom
**Mass density**: 5634 kg/m3
**ΔE_f**: -725 meV per atom
**Raw total energy**: -20.18 eV/cell
**Symmetry**: Cmmm (65)

The structure in extended XYZ format:
```
4
Lattice="2.2211 -2.8669 0.0000 2.2211 2.8669 0.0000 0.0000 0.0000 7.2449" Properties=species:S:1:pos:R:3 pbc="T T T"
La 0.0000 0.0000 0.0000
Mg 0.0000 0.0000 3.6225
As 2.2211 0.0000 1.9394
As 2.2211 0.0000 5.3056
```


# LaZr2Tc2

A relaxed LaZr2Tc2 crystal (GGA-PBEsol, Alexandria via LeMat-Bulk).

Values from the calculation:
**Size of the total moment**: 0.00 μB per atom
**Volume**: 21.90 Å³ per atom
**Mass density**: 7844 kg/m3
**ΔE_f**: 22 meV per atom
**Raw total energy**: -45.95 eV/cell
**Symmetry**: I4/mmm (139)

The structure in extended XYZ format:
```
5
Lattice="-2.1999 2.1999 5.6574 2.1999 -2.1999 5.6574 2.1999 2.1999 -5.6574" Properties=species:S:1:pos:R:3 pbc="T T T"
La 0.0000 0.0000 0.0000
Zr 2.1999 0.0000 2.8287
Zr 0.0000 2.1999 2.8287
Tc 0.0000 0.0000 4.4285
Tc 0.0000 0.0000 6.8863
```


# TcAg2Cl

A relaxed TcAg2Cl crystal (GGA-PBEsol, Alexandria via LeMat-Bulk).

Values from the calculation:
**Size of the total moment**: 0.66 μB per atom
**Volume**: 16.94 Å³ per atom
**Mass density**: 8556 kg/m3
**Energy above the most stable polymorph in this dataset**: 0.268 eV/atom
**Raw total energy**: -16.64 eV/cell
**Formation energy from raw total energies**: 814 meV per atom
**Symmetry**: P4/mmm (123)

The structure in extended XYZ format:
```
4
Lattice="3.7829 0.0000 0.0000 0.0000 3.7829 0.0000 0.0000 0.0000 4.7356" Properties=species:S:1:pos:R:3 pbc="T T T"
Tc 0.0000 0.0000 0.0000
Ag 0.0000 1.8915 2.3678
Ag 1.8915 0.0000 2.3678
Cl 1.8915 1.8915 0.0000
```


# Sm5Se9

A relaxed Sm5Se9 crystal (GGA-PBEsol, Alexandria via LeMat-Bulk).

Values from the calculation:
**Size of the total moment**: 0.00 μB per atom
**Volume**: 24.08 Å³ per atom
**Mass density**: 7205 kg/m3
**Raw total energy**: -168.56 eV/cell
**Formation energy from raw total energies**: -1726 meV per atom
**Symmetry**: P-1 (2)

The structure in extended XYZ format:
```
28
Lattice="8.9558 0.0000 0.0000 -0.0378 9.0590 0.0000 -1.7679 -3.5797 8.3093" Properties=species:S:1:pos:R:3 pbc="T T T"
Sm -0.3823 1.3660 2.3071
Sm 0.4371 -1.3906 6.1492
Sm 1.2753 4.9569 2.2009
Sm 2.2382 2.2962 6.0347
Sm 3.1345 -0.4237 2.3471
Sm 4.0156 5.9030 5.9622
Sm 4.9118 3.1830 2.2746
Sm 5.8747 0.5224 6.1084
Sm 6.7130 6.8699 2.1600
Sm 7.5323 4.1133 6.0022
Se 0.3584 3.0899 0.0138
Se -0.4200 1.3982 5.3080
Se 0.4449 7.6892 3.1028
Se -0.4895 -3.4517 8.2954
Se 1.2939 4.9658 5.2427
Se 2.2628 2.2754 3.0695
Se 3.1907 4.1246 0.0031
Se 4.1509 1.2200 0.0024
Se 3.1779 -0.4374 5.3199
Se 3.9721 5.9167 2.9894
Se 2.9992 4.2593 8.3069
Se 3.9594 1.3547 8.3062
Se 4.8872 3.2038 5.2397
Se 5.8561 0.5135 3.0666
Se 7.6396 8.9309 0.0139
Se 6.7051 -2.2099 5.2065
Se 7.5701 4.0811 3.0013
Se 6.7917 2.3894 8.2955
```


# CdAs3

A relaxed CdAs3 crystal (GGA-PBEsol, Alexandria via LeMat-Bulk).

Values from the calculation:
**Size of the total moment**: 0.00 μB per atom
**Volume**: 20.90 Å³ per atom
**Mass density**: 6696 kg/m3
**Energy above the most stable polymorph in this dataset**: 0.183 eV/atom
**ΔE_f**: 217 meV per atom
**Raw total energy**: -15.65 eV/cell
**Symmetry**: C2/m (12)

The structure in extended XYZ format:
```
4
Lattice="5.5163 -1.8465 0.0000 5.5163 1.8465 0.0000 -1.5599 0.0000 4.1045" Properties=species:S:1:pos:R:3 pbc="T T T"
Cd 0.0000 0.0000 0.0000
As 1.0298 0.0000 3.1876
As 4.7363 0.0000 2.0523
As 8.4428 0.0000 0.9169
```